A) Entry from the Alexandria database: a relaxed structure of ThInPd6 (PBE-GGA).

a = 4.7718 Å, b = 5.8502 Å, c = 5.8502 Å
α = 59.99°, β = 90.00°, γ = 90.00°
With the nearest neighbours (Å) after each atom.
Fractional positions:
Th: 0.0000 0.0000 0.0000  12 Pd 2.92-2.95
In: 0.5000 0.6675 0.6675  12 Pd 2.92-2.93
Pd: 0.0000 0.0016 0.4997  8 Pd 2.91-2.94, 2 Th 2.92-2.93, 2 In 2.93
Pd: 0.0000 0.4997 0.0016  8 Pd 2.91-2.94, 2 Th 2.92-2.93, 2 In 2.93
Pd: 0.0000 0.5006 0.5006  8 Pd 2.91-2.93, 2 Th 2.92, 2 In 2.92
Pd: 0.5000 0.1715 0.1715  8 Pd 2.84-3.01, 2 In 2.93, 2 Th 2.95
Pd: 0.5000 0.1725 0.6562  8 Pd 2.83-3.02, 2 In 2.92-2.93, 2 Th 2.95
Pd: 0.5000 0.6562 0.1725  8 Pd 2.83-3.02, 2 In 2.92-2.93, 2 Th 2.95

## Properties
- V (Å³/atom) = 17.68
- SG = Amm2, No. 38

B) Entry from the Alexandria database: a relaxed structure of ThInPd6 (PBE-GGA).

a = 4.1620 Å, b = 4.1620 Å, c = 8.1457 Å
α = 90.00°, β = 90.00°, γ = 90.00°
With the nearest neighbours (Å) after each atom.
Fractional positions:
Th: 0.0000 0.0000 0.0000  12 Pd 2.94-2.95
In: 0.0000 0.0000 0.5000  12 Pd 2.87-2.94
Pd: 0.0000 0.5000 0.2572  2 In 2.87, 8 Pd 2.87-2.95, 2 Th 2.95
Pd: 0.0000 0.5000 0.7428  2 In 2.87, 8 Pd 2.87-2.95, 2 Th 2.95
Pd: 0.5000 0.0000 0.2572  2 In 2.87, 8 Pd 2.87-2.95, 2 Th 2.95
Pd: 0.5000 0.0000 0.7428  2 In 2.87, 8 Pd 2.87-2.95, 2 Th 2.95
Pd: 0.5000 0.5000 0.0000  4 Th 2.94, 8 Pd 2.95
Pd: 0.5000 0.5000 0.5000  8 Pd 2.87, 4 In 2.94

## Properties
- V (Å³/atom) = 17.64
- SG = P4/mmm, No. 123

In order of decreasing stability: B), A).

A) Entry from the Alexandria database: a relaxed structure of ThIn2Pd8 (PBE-GGA).

a = 7.7114 Å, b = 7.7114 Å, c = 7.7114 Å
α = 148.53°, β = 121.68°, γ = 67.78°
With the nearest neighbours (Å) after each atom.
Fractional positions:
Th: 0.0000 0.0000 0.0000  12 Pd 2.90-2.99
In: 0.3242 0.3242 0.0000  10 Pd 2.74-3.00
In: 0.6758 0.6758 0.0000  10 Pd 2.74-3.00
Pd: 0.0985 0.8331 0.2653  3 In 2.74-2.83, 7 Pd 2.87-2.99, 1 Th 2.92
Pd: 0.1567 0.6567 0.5000  8 Pd 2.87-2.93, 2 Th 2.90, 2 In 3.00
Pd: 0.2847 0.5000 0.7847  2 In 2.77, 6 Pd 2.93-2.99, 2 Th 2.99
Pd: 0.4322 0.1669 0.2653  3 In 2.74-2.83, 7 Pd 2.87-2.99, 1 Th 2.92
Pd: 0.5678 0.8331 0.7347  3 In 2.74-2.83, 7 Pd 2.87-2.99, 1 Th 2.92
Pd: 0.7153 0.5000 0.2153  2 In 2.77, 6 Pd 2.93-2.99, 2 Th 2.99
Pd: 0.8433 0.3433 0.5000  8 Pd 2.87-2.93, 2 Th 2.90, 2 In 3.00
Pd: 0.9015 0.1669 0.7347  3 In 2.74-2.83, 7 Pd 2.87-2.99, 1 Th 2.92

## Properties
- V (Å³/atom) = 18.29
- SG = Immm, No. 71

B) Entry from the Alexandria database: a relaxed structure of ThIn2Pd8 (PBE-GGA).

a = 7.6490 Å, b = 7.6490 Å, c = 6.5496 Å
α = 106.53°, β = 106.53°, γ = 31.90°
With the nearest neighbours (Å) after each atom.
Fractional positions:
Th: 0.0000 0.0000 0.0000  12 Pd 2.87-2.99
In: 0.2813 0.2813 0.3434  10 Pd 2.74-3.06
In: 0.7187 0.7187 0.6566  10 Pd 2.74-3.06
Pd: 0.0953 0.0953 0.4617  3 In 2.82-3.06, 8 Pd 2.88-2.99, 1 Th 2.93
Pd: 0.1811 0.1811 0.9177  3 In 2.74-2.86, 1 Th 2.87, 8 Pd 2.88-2.96
Pd: 0.3570 0.3570 0.8019  3 In 2.88, 7 Pd 2.90-3.03, 2 Th 2.99
Pd: 0.4596 0.4596 0.2777  1 In 2.78, 9 Pd 2.80-3.03, 2 Th 2.95
Pd: 0.5404 0.5404 0.7223  1 In 2.78, 9 Pd 2.80-3.03, 2 Th 2.95
Pd: 0.6430 0.6430 0.1981  3 In 2.88, 7 Pd 2.90-3.03, 2 Th 2.99
Pd: 0.8189 0.8189 0.0823  3 In 2.74-2.86, 1 Th 2.87, 8 Pd 2.88-2.96
Pd: 0.9047 0.9047 0.5383  3 In 2.82-3.06, 8 Pd 2.88-2.99, 1 Th 2.93

## Properties
- V (Å³/atom) = 17.58
- SG = C2/m, No. 12

In order of decreasing stability: B), A).

A) Entry from the Alexandria database: a relaxed structure of TiIn2Pd2 (PBE-GGA).

a = 7.7760 Å, b = 7.7760 Å, c = 3.1021 Å
α = 90.00°, β = 90.00°, γ = 90.00°
With the nearest neighbours (Å) after each atom.
Fractional positions:
Ti: 0.0000 0.0000 0.0000  4 In 3.01, 2 Ti 3.10, 8 Pd 3.31
Ti: 0.5000 0.5000 0.0000  4 In 3.01, 2 Ti 3.10, 8 Pd 3.31
In: 0.1395 0.3605 0.0000  6 Pd 2.69-2.81, 2 Ti 3.01
In: 0.3605 0.8605 0.0000  6 Pd 2.69-2.81, 2 Ti 3.01
In: 0.6395 0.1395 0.0000  6 Pd 2.69-2.81, 2 Ti 3.01
In: 0.8605 0.6395 0.0000  6 Pd 2.69-2.81, 2 Ti 3.01
Pd: 0.1604 0.6604 0.5000  6 In 2.69-2.81
Pd: 0.3396 0.1604 0.5000  6 In 2.69-2.81
Pd: 0.6604 0.8396 0.5000  6 In 2.69-2.81
Pd: 0.8396 0.3396 0.5000  6 In 2.69-2.81

## Properties
- V (Å³/atom) = 18.76
- SG = P4/mbm, No. 127

B) Entry from the Alexandria database: a relaxed structure of TiIn2Pd2 (PBE-GGA).

a = 7.5877 Å, b = 7.5877 Å, c = 3.2332 Å
α = 90.00°, β = 90.00°, γ = 90.00°
With the nearest neighbours (Å) after each atom.
Fractional positions:
Ti: 0.0000 0.0000 0.0000  4 Pd 2.95, 2 Ti 3.23, 8 In 3.27
Ti: 0.5000 0.5000 0.0000  4 Pd 2.95, 2 Ti 3.23, 8 In 3.27
In: 0.1635 0.3366 0.5000  6 Pd 2.69-2.79
In: 0.3366 0.8366 0.5000  6 Pd 2.69-2.79
In: 0.6634 0.1635 0.5000  6 Pd 2.69-2.79
In: 0.8366 0.6634 0.5000  6 Pd 2.69-2.79
Pd: 0.1357 0.6357 0.0000  6 In 2.69-2.79, 1 Pd 2.91, 2 Ti 2.95
Pd: 0.3643 0.1357 0.0000  6 In 2.69-2.79, 1 Pd 2.91, 2 Ti 2.95
Pd: 0.6357 0.8643 0.0000  6 In 2.69-2.79, 1 Pd 2.91, 2 Ti 2.95
Pd: 0.8643 0.3643 0.0000  6 In 2.69-2.79, 1 Pd 2.91, 2 Ti 2.95

## Properties
- V (Å³/atom) = 18.61
- SG = P4/mbm, No. 127

C) Entry from the Alexandria database: a relaxed structure of TiIn2Pd2 (PBE-GGA).

a = 4.5060 Å, b = 4.5775 Å, c = 9.4689 Å
α = 90.00°, β = 90.00°, γ = 90.00°
With the nearest neighbours (Å) after each atom.
Fractional positions:
Ti: 0.2500 0.2500 0.1683  6 Pd 2.68-2.77
Ti: 0.7500 0.7500 0.8317  6 Pd 2.68-2.77
In: 0.2500 0.2500 0.4961  4 Pd 2.79-2.86, 1 Ti 3.10
In: 0.2500 0.2500 0.8275  6 Pd 2.69-2.83
In: 0.7500 0.7500 0.1725  6 Pd 2.69-2.83
In: 0.7500 0.7500 0.5039  4 Pd 2.79-2.86, 1 Ti 3.10
Pd: 0.2500 0.7500 0.0026  4 In 2.77-2.83, 4 Ti 2.77, 1 Pd 3.08
Pd: 0.2500 0.7500 0.6776  2 Ti 2.68, 6 In 2.69-2.86
Pd: 0.7500 0.2500 0.3224  2 Ti 2.68, 6 In 2.69-2.86
Pd: 0.7500 0.2500 0.9974  4 In 2.77-2.83, 4 Ti 2.77, 1 Pd 3.08

## Properties
- V (Å³/atom) = 19.53
- SG = Pmmn, No. 59

In order of decreasing stability: C), B), A).

A) Entry from the Alexandria database: a relaxed structure of Ti4InPd (PBE-GGA).

a = 3.1238 Å, b = 3.1238 Å, c = 10.7109 Å
α = 90.00°, β = 90.00°, γ = 90.00°
With the nearest neighbours (Å) after each atom.
Fractional positions:
Ti: 0.0000 0.0000 0.1536  4 Pd 2.75, 4 Ti 2.80
Ti: 0.0000 0.0000 0.8464  4 Pd 2.75, 4 Ti 2.80
Ti: 0.5000 0.5000 0.3143  8 Ti 2.80-3.12, 4 In 2.97
Ti: 0.5000 0.5000 0.6857  8 Ti 2.80-3.12, 4 In 2.97
In: 0.0000 0.0000 0.5000  8 Ti 2.97, 4 In 3.12
Pd: 0.5000 0.5000 0.0000  8 Ti 2.75

## Properties
- V (Å³/atom) = 17.42
- SG = P4/mmm, No. 123

B) Entry from the Alexandria database: a relaxed structure of Ti4InPd (PBE-GGA).

a = 6.9695 Å, b = 6.9695 Å, c = 7.2027 Å
α = 116.30°, β = 116.30°, γ = 43.13°
With the nearest neighbours (Å) after each atom.
Fractional positions:
Ti: 0.0607 0.7770 0.8325  5 Ti 2.74-2.87, 3 In 2.89-2.94, 1 Pd 3.01
Ti: 0.1280 0.5146 0.4057  2 Pd 2.63-2.66, 4 Ti 2.76-2.84
Ti: 0.2230 0.9393 0.6675  5 Ti 2.74-2.87, 3 In 2.89-2.94, 1 Pd 3.01
Ti: 0.4854 0.8720 0.0943  2 Pd 2.63-2.66, 4 Ti 2.76-2.84
Ti: 0.5146 0.1280 0.9057  2 Pd 2.63-2.66, 4 Ti 2.76-2.84
Ti: 0.7770 0.0607 0.3325  5 Ti 2.74-2.87, 3 In 2.89-2.94, 1 Pd 3.01
Ti: 0.8720 0.4854 0.5943  2 Pd 2.63-2.66, 4 Ti 2.76-2.84
Ti: 0.9393 0.2230 0.1675  5 Ti 2.74-2.87, 3 In 2.89-2.94, 1 Pd 3.01
In: 0.3578 0.6422 0.2500  10 Ti 2.89-3.03, 2 Pd 2.91
In: 0.6422 0.3578 0.7500  10 Ti 2.89-3.03, 2 Pd 2.91
Pd: 0.0000 0.5000 0.0000  4 Ti 2.63-2.66, 2 In 2.91
Pd: 0.5000 0.0000 0.5000  4 Ti 2.63-2.66, 2 In 2.91

## Properties
- V (Å³/atom) = 17.52
- SG = C2/c, No. 15

In order of decreasing stability: A), B).

A) Entry from the Alexandria database: a relaxed structure of Ti3InPd4 (PBE-GGA).

a = 6.6761 Å, b = 6.6761 Å, c = 6.6761 Å
α = 134.32°, β = 76.97°, γ = 121.80°
With the nearest neighbours (Å) after each atom.
Fractional positions:
Ti: 0.0000 0.0000 0.0000  4 Pd 2.51-2.58
Ti: 0.2486 0.6061 0.6425  3 Pd 2.40-2.53
Ti: 0.9636 0.6061 0.3575  3 Pd 2.40-2.53
In: 0.7202 0.2202 0.5000  6 Pd 2.76-2.95, 2 Ti 2.92
Pd: 0.3465 0.1014 0.7549  3 Ti 2.53-2.58, 2 Pd 2.54-2.64, 1 In 2.76
Pd: 0.3465 0.5916 0.2451  3 Ti 2.53-2.58, 2 Pd 2.54-2.64, 1 In 2.76
Pd: 0.5451 0.6776 0.8675  2 Ti 2.40-2.51
Pd: 0.8101 0.6776 0.1325  2 Ti 2.40-2.51

## Properties
- V (Å³/atom) = 21.99
- SG = Imm2, No. 44

B) Entry from the Alexandria database: a relaxed structure of Ti3InPd4 (PBE-GGA).

a = 9.3163 Å, b = 5.8183 Å, c = 4.8075 Å
α = 90.00°, β = 90.00°, γ = 90.00°
With the nearest neighbours (Å) after each atom.
Fractional positions:
Ti: 0.0000 0.0000 0.0000  8 Pd 2.77-2.79, 2 In 2.91, 2 Ti 3.03
Ti: 0.2500 0.0000 0.4030  8 Pd 2.73-2.84, 4 Ti 2.91-3.03
Ti: 0.2500 0.5000 0.4139  8 Pd 2.74-2.94, 2 Ti 2.91, 2 In 3.06
Ti: 0.5000 0.0000 0.0000  8 Pd 2.77-2.79, 2 In 2.91, 2 Ti 3.03
Ti: 0.7500 0.0000 0.5970  8 Pd 2.73-2.84, 4 Ti 2.91-3.03
Ti: 0.7500 0.5000 0.5861  8 Pd 2.74-2.94, 2 Ti 2.91, 2 In 3.06
In: 0.0000 0.5000 0.0000  8 Pd 2.82-2.83, 4 Ti 2.91-3.06
In: 0.5000 0.5000 0.0000  8 Pd 2.82-2.83, 4 Ti 2.91-3.06
Pd: 0.0000 0.2423 0.5000  6 Ti 2.76-2.80, 4 Pd 2.82-3.00, 2 In 2.83
Pd: 0.0000 0.7577 0.5000  6 Ti 2.76-2.80, 4 Pd 2.82-3.00, 2 In 2.83
Pd: 0.2500 0.2410 0.8892  6 Ti 2.73-2.94, 4 Pd 2.80-3.01, 2 In 2.82
Pd: 0.2500 0.7590 0.8892  6 Ti 2.73-2.94, 4 Pd 2.80-3.01, 2 In 2.82
Pd: 0.5000 0.2423 0.5000  6 Ti 2.76-2.80, 4 Pd 2.82-3.00, 2 In 2.83
Pd: 0.5000 0.7577 0.5000  6 Ti 2.76-2.80, 4 Pd 2.82-3.00, 2 In 2.83
Pd: 0.7500 0.2410 0.1108  6 Ti 2.73-2.94, 4 Pd 2.80-3.01, 2 In 2.82
Pd: 0.7500 0.7590 0.1108  6 Ti 2.73-2.94, 4 Pd 2.80-3.01, 2 In 2.82

## Properties
- V (Å³/atom) = 16.29
- SG = Pmma, No. 51

In order of decreasing stability: B), A).

A) Entry from the Alexandria database: a relaxed structure of ZrTi2InPd (PBE-GGA).

a = 5.0229 Å, b = 5.0229 Å, c = 4.8375 Å
α = 90.00°, β = 90.00°, γ = 90.00°
With the nearest neighbours (Å) after each atom.
Fractional positions:
Zr: 0.0000 0.0000 0.0000  8 Ti 3.49, 4 Pd 3.55
Ti: 0.0000 0.5000 0.5000  2 In 2.51
Ti: 0.5000 0.0000 0.5000  2 In 2.51
In: 0.5000 0.5000 0.5000  2 Pd 2.42, 4 Ti 2.51
Pd: 0.5000 0.5000 0.0000  2 In 2.42

## Properties
- V (Å³/atom) = 24.41
- SG = P4/mmm, No. 123

B) Entry from the Alexandria database: a relaxed structure of ZrTi2InPd (PBE-GGA).

a = 4.9722 Å, b = 4.9722 Å, c = 5.2932 Å
α = 90.00°, β = 90.00°, γ = 90.00°
With the nearest neighbours (Å) after each atom.
Fractional positions:
Zr: 0.0000 0.0000 0.0000  2 In 2.65
Ti: 0.0000 0.5000 0.5000  2 In 2.49
Ti: 0.5000 0.0000 0.5000  2 In 2.49
In: 0.0000 0.0000 0.5000  4 Ti 2.49, 2 Zr 2.65
Pd: 0.5000 0.5000 0.0000  4 Zr 3.52, 8 Ti 3.63

## Properties
- V (Å³/atom) = 26.17
- SG = P4/mmm, No. 123

C) Entry from the Alexandria database: a relaxed structure of ZrTi2InPd (PBE-GGA).

a = 4.8125 Å, b = 4.8125 Å, c = 4.9744 Å
α = 90.00°, β = 90.00°, γ = 90.00°
With the nearest neighbours (Å) after each atom.
Fractional positions:
Zr: 0.0000 0.0000 0.0000  4 In 3.40, 8 Ti 3.46
Ti: 0.0000 0.5000 0.5000  2 Pd 2.41
Ti: 0.5000 0.0000 0.5000  2 Pd 2.41
In: 0.5000 0.5000 0.0000  2 Pd 2.49
Pd: 0.5000 0.5000 0.5000  4 Ti 2.41, 2 In 2.49

## Properties
- V (Å³/atom) = 23.04
- SG = P4/mmm, No. 123

In order of decreasing stability: C), A), B).

A) Entry from the Alexandria database: a relaxed structure of TlInPd4 (PBE-GGA).

a = 7.7227 Å, b = 3.0602 Å, c = 17.9192 Å
α = 90.00°, β = 90.00°, γ = 90.00°
With the nearest neighbours (Å) after each atom.
Fractional positions:
Tl: 0.2362 0.2500 0.0573  9 Pd 2.80-3.00, 2 Tl 3.06
Tl: 0.2638 0.7500 0.5573  9 Pd 2.80-3.00, 2 Tl 3.06
Tl: 0.7362 0.2500 0.4427  9 Pd 2.80-3.00, 2 Tl 3.06
Tl: 0.7638 0.7500 0.9427  9 Pd 2.80-3.00, 2 Tl 3.06
In: 0.2493 0.7500 0.3092  9 Pd 2.68-2.88
In: 0.2507 0.2500 0.8092  9 Pd 2.68-2.88
In: 0.7493 0.7500 0.1908  9 Pd 2.68-2.88
In: 0.7507 0.2500 0.6908  9 Pd 2.68-2.88
Pd: 0.0434 0.7500 0.4319  1 In 2.71, 3 Tl 2.82-2.83, 6 Pd 2.96-2.98
Pd: 0.0658 0.7500 0.7014  4 In 2.85-2.88, 8 Pd 2.96-3.06, 1 Tl 3.00
Pd: 0.0994 0.7500 0.1742  2 In 2.68-2.72, 2 Tl 2.80, 4 Pd 2.98-2.99
Pd: 0.1263 0.7500 0.9303  3 Tl 2.81-2.87, 2 In 2.82, 6 Pd 2.98-3.06
Pd: 0.3737 0.2500 0.4303  3 Tl 2.81-2.87, 2 In 2.82, 6 Pd 2.98-3.06
Pd: 0.4006 0.2500 0.6742  2 In 2.68-2.72, 2 Tl 2.80, 4 Pd 2.98-2.99
Pd: 0.4342 0.2500 0.2014  4 In 2.85-2.88, 8 Pd 2.96-3.06, 1 Tl 3.00
Pd: 0.4566 0.2500 0.9319  1 In 2.71, 3 Tl 2.82-2.83, 6 Pd 2.96-2.98
Pd: 0.5434 0.7500 0.0681  1 In 2.71, 3 Tl 2.82-2.83, 6 Pd 2.96-2.98
Pd: 0.5658 0.7500 0.7986  4 In 2.85-2.88, 8 Pd 2.96-3.06, 1 Tl 3.00
Pd: 0.5994 0.7500 0.3258  2 In 2.68-2.72, 2 Tl 2.80, 4 Pd 2.98-2.99
Pd: 0.6263 0.7500 0.5697  3 Tl 2.81-2.87, 2 In 2.82, 6 Pd 2.98-3.06
Pd: 0.8737 0.2500 0.0697  3 Tl 2.81-2.87, 2 In 2.82, 6 Pd 2.98-3.06
Pd: 0.9006 0.2500 0.8258  2 In 2.68-2.72, 2 Tl 2.80, 4 Pd 2.98-2.99
Pd: 0.9342 0.2500 0.2986  4 In 2.85-2.88, 8 Pd 2.96-3.06, 1 Tl 3.00
Pd: 0.9566 0.2500 0.5681  1 In 2.71, 3 Tl 2.82-2.83, 6 Pd 2.96-2.98

## Properties
- V (Å³/atom) = 17.65
- SG = Pnma, No. 62

B) Entry from the Alexandria database: a relaxed structure of TlInPd4 (PBE-GGA).

a = 4.9996 Å, b = 4.9996 Å, c = 4.9712 Å
α = 96.96°, β = 96.96°, γ = 120.29°
With the nearest neighbours (Å) after each atom.
Fractional positions:
Tl: 0.0000 0.0000 0.0000  10 Pd 2.87-2.91, 2 In 3.06
In: 0.5000 0.5000 0.5000  10 Pd 2.87-2.89, 2 Tl 3.06
Pd: 0.1669 0.8331 0.5000  2 Tl 2.88, 7 Pd 2.88-3.06, 3 In 2.88-2.89
Pd: 0.3353 0.6647 0.0000  7 Pd 2.86-3.06, 2 In 2.87, 3 Tl 2.87-2.91
Pd: 0.6647 0.3353 0.0000  7 Pd 2.86-3.06, 2 In 2.87, 3 Tl 2.87-2.91
Pd: 0.8331 0.1669 0.5000  2 Tl 2.88, 7 Pd 2.88-3.06, 3 In 2.88-2.89

## Properties
- V (Å³/atom) = 17.34
- SG = C2/m, No. 12

In order of decreasing stability: B), A).

A) Entry from the Alexandria database: a relaxed structure of Tl2InPd (PBE-GGA).

a = 7.0352 Å, b = 7.0352 Å, c = 7.0352 Å
α = 98.29°, β = 98.29°, γ = 135.36°
With the nearest neighbours (Å) after each atom.
Fractional positions:
Tl: 0.0333 0.6250 0.9083  2 Pd 2.80
Tl: 0.3750 0.2833 0.4083  2 Pd 2.80
Tl: 0.7167 0.1250 0.0917  2 Pd 2.80
Tl: 0.8750 0.9667 0.5917  2 Pd 2.80
In: 0.2500 0.7500 0.5000  2 Pd 2.67
In: 0.5000 0.5000 0.0000  2 Pd 2.67
Pd: 0.0000 0.0000 0.0000  2 In 2.67, 4 Tl 2.80
Pd: 0.7500 0.2500 0.5000  2 In 2.67, 4 Tl 2.80

## Properties
- V (Å³/atom) = 28.29
- SG = I-42d, No. 122

B) Entry from the Alexandria database: a relaxed structure of Tl2InPd (PBE-GGA).

a = 11.2722 Å, b = 11.2722 Å, c = 11.2722 Å
α = 16.73°, β = 16.73°, γ = 16.73°
With the nearest neighbours (Å) after each atom.
Fractional positions:
Tl: 0.0806 0.0806 0.0806  1 Pd 2.69
Tl: 0.9194 0.9194 0.9194  1 Pd 2.69
In: 0.5000 0.5000 0.5000  6 In 3.28, 6 Tl 3.44
Pd: 0.0000 0.0000 0.0000  2 Tl 2.69

## Properties
- V (Å³/atom) = 25.87
- SG = R-3m, No. 166

C) Entry from the Alexandria database: a relaxed structure of Tl2InPd (PBE-GGA).

a = 5.1530 Å, b = 5.1530 Å, c = 5.1530 Å
α = 60.00°, β = 60.00°, γ = 60.00°
With the nearest neighbours (Å) after each atom.
Fractional positions:
Tl: 0.2500 0.2500 0.2500  4 Pd 3.16, 4 In 3.16
Tl: 0.7500 0.7500 0.7500  4 Pd 3.16, 4 In 3.16
In: 0.0000 0.0000 0.0000  8 Tl 3.16
Pd: 0.5000 0.5000 0.5000  8 Tl 3.16

## Properties
- V (Å³/atom) = 24.19
- SG = Fm-3m, No. 225

In order of decreasing stability: A), C), B).